Record 1
VASP calculation (PBE) on a relaxed structure of SrLa2Mn.

```
data_SrLa2Mn
_cell_length_a 3.798
_cell_length_b 4.446
_cell_length_c 16.674
_cell_angle_alpha 90.00
_cell_angle_beta 90.00
_cell_angle_gamma 90.00
_symmetry_space_group_name_H-M 'A m m 2'
_symmetry_Int_Tables_number 38
loop_
_symmetry_equiv_pos_as_xyz
'x,y,z'
'-x,-y,z'
'-x,y,z'
'x,-y,z'
'x,y+1/2,z+1/2'
'-x,-y+1/2,z+1/2'
'-x,y+1/2,z+1/2'
'x,-y+1/2,z+1/2'
loop_
_atom_site_label
_atom_site_fract_x
_atom_site_fract_y
_atom_site_fract_z
Sr1 0.000 0.000 0.000
La1 0.000 0.000 0.677
La2 0.500 0.000 0.319
Mn1 0.500 0.000 0.185
```

Formation energy from the elements ... 0.326 eV/atom
Crystal system ... orthorhombic


Record 2
VASP calculation (PBE) on a relaxed structure of HoThZnIr.

```
data_HoThZnIr
_cell_length_a 7.113
_cell_length_b 7.113
_cell_length_c 7.113
_cell_angle_alpha 90.00
_cell_angle_beta 90.00
_cell_angle_gamma 90.00
_symmetry_space_group_name_H-M 'F -4 3 m'
_symmetry_Int_Tables_number 216
_symmetry_space_group_name_Hall 'F -4 2 3'
loop_
_atom_site_label
_atom_site_fract_x
_atom_site_fract_y
_atom_site_fract_z
Ho1 0.000 0.000 0.000
Th1 0.000 0.000 0.500
Zn1 0.250 0.250 0.750
Ir1 0.250 0.250 0.250
```

Formation energy from the elements ... -0.533 eV/atom
Crystal system ... cubic


Record 3
VASP calculation (PBE) on a relaxed structure of CrTc2Ir.

```
data_CrTc2Ir
_cell_length_a 8.998
_cell_length_b 2.707
_cell_length_c 4.665
_cell_angle_alpha 90.00
_cell_angle_beta 99.86
_cell_angle_gamma 90.00
_symmetry_space_group_name_H-M 'C 1 2/m 1'
_symmetry_Int_Tables_number 12
loop_
_symmetry_equiv_pos_as_xyz
'x,y,z'
'-x,-y,-z'
'-x,y,-z'
'x,-y,z'
'x+1/2,y+1/2,z'
'-x+1/2,-y+1/2,-z'
'-x+1/2,y+1/2,-z'
'x+1/2,-y+1/2,z'
loop_
_atom_site_label
_atom_site_fract_x
_atom_site_fract_y
_atom_site_fract_z
Cr1 0.000 0.000 0.000
Tc1 0.249 0.000 0.754
Ir1 0.000 0.500 0.500
```

Formation energy from the elements ... -0.003 eV/atom
Crystal system ... monoclinic


Record 4
VASP calculation (PBE) on a relaxed structure of Pm7SmDy3.

```
data_Pm7SmDy3
_cell_length_a 6.567
_cell_length_b 6.775
_cell_length_c 8.756
_cell_angle_alpha 99.95
_cell_angle_beta 98.83
_cell_angle_gamma 96.01
_symmetry_space_group_name_H-M 'P -1'
_symmetry_Int_Tables_number 2
loop_
_symmetry_equiv_pos_as_xyz
'x,y,z'
'-x,-y,-z'
loop_
_atom_site_label
_atom_site_fract_x
_atom_site_fract_y
_atom_site_fract_z
Pm1 0.000 0.000 0.000
Pm2 0.058 0.712 0.642
Pm3 0.216 0.226 0.709
Pm4 0.484 0.737 0.917
Sm1 0.000 0.500 0.000
Dy1 0.315 0.935 0.335
Dy2 0.500 0.500 0.500
```

Formation energy from the elements ... 0.131 eV/atom
Crystal system ... triclinic


Record 5
VASP calculation (PBE) on a relaxed structure of Ti2Cu2Se.

```
data_Ti2Cu2Se
_cell_length_a 6.552
_cell_length_b 6.552
_cell_length_c 3.827
_cell_angle_alpha 90.00
_cell_angle_beta 90.00
_cell_angle_gamma 90.00
_symmetry_space_group_name_H-M 'P 4/m b m'
_symmetry_Int_Tables_number 127
_symmetry_space_group_name_Hall '-P 4 2ab'
loop_
_atom_site_label
_atom_site_fract_x
_atom_site_fract_y
_atom_site_fract_z
Ti1 0.159 0.341 0.000
Cu1 0.132 0.632 0.500
Se1 0.000 0.000 0.000
```

Raw formation energy ... -87.6 kJ/mol of formula units
Crystal system ... tetragonal


Record 6
VASP calculation (PBE) on a relaxed structure of SrIn2RhI.

```
data_SrIn2RhI
_cell_length_a 5.193
_cell_length_b 5.193
_cell_length_c 5.901
_cell_angle_alpha 90.00
_cell_angle_beta 90.00
_cell_angle_gamma 90.00
_symmetry_space_group_name_H-M 'P 4/m m m'
_symmetry_Int_Tables_number 123
_symmetry_space_group_name_Hall '-P 4 2'
loop_
_atom_site_label
_atom_site_fract_x
_atom_site_fract_y
_atom_site_fract_z
Sr1 0.000 0.000 0.000
In1 0.000 0.500 0.500
Rh1 0.000 0.000 0.500
I1 0.500 0.500 0.000
```

Raw formation energy ... -291.3 kJ/mol of formula units
Crystal system ... tetragonal


Record 7
VASP calculation (PBE) on a relaxed structure of Pa2NbW.

```
data_Pa2NbW
_cell_length_a 2.9942
_cell_length_b 2.9942
_cell_length_c 32.9199
_cell_angle_alpha 90.00
_cell_angle_beta 90.00
_cell_angle_gamma 120.00
_symmetry_space_group_name_H-M 'R -3 m'
_symmetry_Int_Tables_number 166
_symmetry_space_group_name_Hall '-R 3 2"'
loop_
_atom_site_label
_atom_site_fract_x
_atom_site_fract_y
_atom_site_fract_z
Pa1 0.0000 0.0000 0.0876
Nb1 0.0000 0.0000 0.0000
W1 0.0000 0.0000 0.5000
```

Formation energy from the elements ... 0.560 eV/atom
Crystal system ... trigonal


Record 8
VASP calculation (PBE) on a relaxed structure of AcMg9In3.

```
data_AcMg9In3
_cell_length_a 6.027
_cell_length_b 14.569
_cell_length_c 7.910
_cell_angle_alpha 90.00
_cell_angle_beta 112.30
_cell_angle_gamma 90.00
_symmetry_space_group_name_H-M 'C 1 2/m 1'
_symmetry_Int_Tables_number 12
loop_
_symmetry_equiv_pos_as_xyz
'x,y,z'
'-x,-y,-z'
'-x,y,-z'
'x,-y,z'
'x+1/2,y+1/2,z'
'-x+1/2,-y+1/2,-z'
'-x+1/2,y+1/2,-z'
'x+1/2,-y+1/2,z'
loop_
_atom_site_label
_atom_site_fract_x
_atom_site_fract_y
_atom_site_fract_z
Ac1 0.000 0.000 0.000
Mg1 0.000 0.000 0.500
Mg2 0.109 0.393 0.215
Mg3 0.173 0.177 0.358
In1 0.000 0.500 0.500
In2 0.250 0.250 0.000
```

Formation energy from the elements ... -0.134 eV/atom
Crystal system ... monoclinic